1.
Crystalline K2CdSe2 at its relaxed geometry. Source: Alexandria via LeMat-Bulk, functional PBE.

## Properties
Its density of states at the Fermi level is 0.006 states/eV per atom. For the total energy, the calculation gives -2.771 eV per atom.

```
K2CdSe2
1.0
-2.738 -3.095 -6.723
7.397 -0.902 -2.597
0.153 -4.421 1.973
Cd Se K
2 4 4
Direct
0.500 0.500 0.000
0.000 0.000 0.000
0.322 0.822 0.000
0.822 0.678 0.000
0.678 0.178 0.000
0.178 0.322 0.000
0.362 0.138 0.500
0.862 0.362 0.500
0.638 0.862 0.500
0.138 0.638 0.500
```

2.
Crystalline KCdSe2 at its relaxed geometry. Source: Alexandria via LeMat-Bulk, functional PBE.

## Properties
Its density of states at the Fermi level is 0.599 states/eV per atom. For the total energy, the calculation gives -2.873 eV per atom.

```
KCdSe2
1.0
8.278 -0.084 -0.108
7.537 3.424 -0.108
-1.004 -0.212 4.065
Se Cd K
2 1 1
Direct
0.941 0.941 0.065
0.676 0.676 0.801
0.568 0.568 0.194
0.315 0.315 0.440
```

Number 1: formation energy without anion corrections -754.8 meV/atom, calculated density 3.84 g/cm³. Number 2: formation energy without anion corrections -627.7 meV/atom, calculated density 4.38 g/cm³.